Run a
A geometry-optimized Ir2PtRh6 structure. Source: Alexandria via LeMat-Bulk, functional PBE.

Cell: 5.3080 12.0440 4.3233 Å, 90.00 90.00 90.00°
With the nearest neighbours (Å) after each atom.
Space group Pnnm (No. 58)
Inequivalent atoms, fractional coordinates:
Ir1 0.1124 0.2068 0.0000 (multiplicity 4)  8 Rh 2.56-2.75, 1 Pt 2.56
Pt1 0.0000 0.0000 0.0000 (multiplicity 2)  2 Ir 2.56, 4 Rh 2.65
Rh1 0.1086 0.3348 0.5000 (multiplicity 4)  5 Rh 2.65-2.94, 4 Ir 2.66-2.72, 1 Pt 2.88
Rh2 0.1276 0.8858 0.5000 (multiplicity 4)  3 Ir 2.56-2.75, 5 Rh 2.61-2.81, 2 Pt 2.65
Rh3 0.1385 0.5950 0.0000 (multiplicity 4)  6 Rh 2.61-2.81, 3 Ir 2.73-2.87

Run b
A geometry-optimized Ir2PtRh6 structure. Source: Alexandria via LeMat-Bulk, functional PBE.

Cell: 8.6259 3.8600 8.2000 Å, 90.00 108.37 90.00°
With the nearest neighbours (Å) after each atom.
Space group C2/m (No. 12)
Inequivalent atoms, fractional coordinates:
Ir1 0.1669 0.0000 0.0551 (multiplicity 4)  9 Rh 2.71-2.73, 3 Ir 2.72-2.73
Pt1 0.0000 0.5000 0.5000 (multiplicity 2)  12 Rh 2.73-2.76
Rh1 0.0019 0.5000 0.8368 (multiplicity 4)  6 Rh 2.69-2.74, 5 Ir 2.71-2.73, 1 Pt 2.76
Rh2 0.1663 0.0000 0.3866 (multiplicity 4)  8 Rh 2.72-2.77, 1 Ir 2.72, 3 Pt 2.73-2.74
Rh3 0.1705 0.0000 0.7258 (multiplicity 4)  3 Ir 2.71, 7 Rh 2.71-2.77, 2 Pt 2.76

Most stable: run b. Least stable: run a.